First-principles (PBE) data for a geometry-optimized In2Ga2S structure, as listed in the Alexandria database. Values from VASP.

As for the uncorrected formation energy: 0.019 eV per atom. The energy above the most stable polymorph in this dataset comes out at 0.000 eV/atom. The total moment comes out at 0.00 Bohr magnetons per cell.

The structure in Quantum ESPRESSO input format:
```
&SYSTEM
  ibrav = 0, nat = 10, ntyp = 3
/
ATOMIC_SPECIES
S 32.06 S.upf
Ga 69.72 Ga.upf
In 114.82 In.upf
CELL_PARAMETERS angstrom
6.969 0.000 0.000
0.000 6.969 0.000
0.000 0.000 4.809
ATOMIC_POSITIONS crystal
S 0.000 0.000 0.000
S 0.500 0.500 0.000
Ga 0.357 0.857 0.000
Ga 0.857 0.643 0.000
Ga 0.643 0.143 0.000
Ga 0.143 0.357 0.000
In 0.170 0.670 0.500
In 0.670 0.830 0.500
In 0.830 0.330 0.500
In 0.330 0.170 0.500
```


First-principles (PBE) data for a geometry-optimized InGa2S2 structure, as listed in the Alexandria database. Values from VASP.

As for the uncorrected formation energy: -0.216 eV per atom. The energy above the most stable polymorph in this dataset comes out at 0.045 eV/atom. The total moment comes out at 0.00 Bohr magnetons per cell.

The structure in Quantum ESPRESSO input format:
```
&SYSTEM
  ibrav = 0, nat = 10, ntyp = 3
/
ATOMIC_SPECIES
S 32.06 S.upf
Ga 69.72 Ga.upf
In 114.82 In.upf
CELL_PARAMETERS angstrom
8.176 0.000 0.000
0.000 8.176 0.000
0.000 0.000 3.604
ATOMIC_POSITIONS crystal
S 0.272 0.772 0.500
S 0.772 0.728 0.500
S 0.728 0.228 0.500
S 0.228 0.272 0.500
Ga 0.395 0.895 0.000
Ga 0.895 0.605 0.000
Ga 0.605 0.105 0.000
Ga 0.105 0.395 0.000
In 0.000 0.000 0.000
In 0.500 0.500 0.000
```


First-principles (PBE) data for a geometry-optimized InGa2S4 structure, as listed in the Alexandria database. Values from VASP.

As for the uncorrected formation energy: -0.523 eV per atom. The total moment comes out at 0.00 Bohr magnetons per cell.

The structure in Quantum ESPRESSO input format:
```
&SYSTEM
  ibrav = 0, nat = 7, ntyp = 3
/
ATOMIC_SPECIES
In 114.82 In.upf
Ga 69.72 Ga.upf
S 32.06 S.upf
CELL_PARAMETERS angstrom
-3.486 1.925 3.469
-0.621 -4.826 2.054
4.729 1.144 4.118
ATOMIC_POSITIONS crystal
In 0.000 0.000 0.000
Ga 0.500 0.000 0.500
Ga 0.000 0.500 0.500
S 0.732 0.268 0.717
S 0.268 0.268 0.283
S 0.268 0.732 0.717
S 0.732 0.732 0.283
```


First-principles (PBE) data for a geometry-optimized In2Ga2S structure, as listed in the Alexandria database. Values from VASP.

As for the uncorrected formation energy: 0.055 eV per atom. The energy above the most stable polymorph in this dataset comes out at 0.035 eV/atom. The total moment comes out at 0.00 Bohr magnetons per cell.

The structure in Quantum ESPRESSO input format:
```
&SYSTEM
  ibrav = 0, nat = 10, ntyp = 3
/
ATOMIC_SPECIES
S 32.06 S.upf
Ga 69.72 Ga.upf
In 114.82 In.upf
CELL_PARAMETERS angstrom
7.628 0.000 0.000
0.000 7.628 0.000
0.000 0.000 4.085
ATOMIC_POSITIONS crystal
S 0.000 0.000 0.000
S 0.500 0.500 0.000
Ga 0.127 0.627 0.500
Ga 0.627 0.873 0.500
Ga 0.873 0.373 0.500
Ga 0.373 0.127 0.500
In 0.323 0.823 0.000
In 0.823 0.677 0.000
In 0.677 0.177 0.000
In 0.177 0.323 0.000
```


First-principles (PBE) data for a geometry-optimized In2GaS4 structure, as listed in the Alexandria database. Values from VASP.

As for the uncorrected formation energy: -0.455 eV per atom. The energy above the most stable polymorph in this dataset comes out at 0.042 eV/atom. The total moment comes out at 0.00 Bohr magnetons per cell.

The structure in Quantum ESPRESSO input format:
```
&SYSTEM
  ibrav = 0, nat = 7, ntyp = 3
/
ATOMIC_SPECIES
In 114.82 In.upf
Ga 69.72 Ga.upf
S 32.06 S.upf
CELL_PARAMETERS angstrom
-1.068 1.624 -3.245
3.695 -4.292 -3.365
-6.394 -2.208 3.203
ATOMIC_POSITIONS crystal
In 0.723 0.737 0.447
In 0.277 0.263 0.553
Ga 0.000 0.000 0.000
S 0.879 0.199 0.758
S 0.121 0.801 0.242
S 0.634 0.273 0.268
S 0.366 0.727 0.732
```


First-principles (PBE) data for a geometry-optimized InGaS3 structure, as listed in the Alexandria database. Values from VASP.

As for the uncorrected formation energy: 0.099 eV per atom. The total moment comes out at 0.00 Bohr magnetons per cell.

The structure in Quantum ESPRESSO input format:
```
&SYSTEM
  ibrav = 0, nat = 5, ntyp = 3
/
ATOMIC_SPECIES
S 32.06 S.upf
Ga 69.72 Ga.upf
In 114.82 In.upf
CELL_PARAMETERS angstrom
-2.647 0.014 3.958
-2.642 -3.553 -1.754
2.948 -3.171 1.983
ATOMIC_POSITIONS crystal
S 0.000 0.500 0.000
S 0.000 0.000 0.500
S 0.500 0.000 0.000
Ga 0.000 0.000 0.000
In 0.500 0.500 0.500
```


First-principles (PBE) data for a geometry-optimized InGaS3 structure, as listed in the Alexandria database. Values from VASP.

As for the uncorrected formation energy: -0.490 eV per atom. The total moment comes out at 0.00 Bohr magnetons per cell.

The structure in Quantum ESPRESSO input format:
```
&SYSTEM
  ibrav = 0, nat = 10, ntyp = 3
/
ATOMIC_SPECIES
In 114.82 In.upf
Ga 69.72 Ga.upf
S 32.06 S.upf
CELL_PARAMETERS angstrom
6.439 0.000 0.000
-3.219 5.576 0.000
0.000 0.000 7.502
ATOMIC_POSITIONS crystal
In 0.333 0.667 0.500
In 0.667 0.333 0.500
Ga 0.000 0.000 0.700
Ga 0.000 0.000 0.300
S 0.000 0.654 0.716
S 0.654 0.000 0.716
S 0.000 0.346 0.284
S 0.654 0.654 0.284
S 0.346 0.346 0.716
S 0.346 0.000 0.284
```


First-principles (PBE) data for a geometry-optimized In2GaS4 structure, as listed in the Alexandria database. Values from VASP.

As for the uncorrected formation energy: -0.497 eV per atom. The energy above the most stable polymorph in this dataset comes out at 0.000 eV/atom. The total moment comes out at 0.00 Bohr magnetons per cell.

The structure in Quantum ESPRESSO input format:
```
&SYSTEM
  ibrav = 0, nat = 14, ntyp = 3
/
ATOMIC_SPECIES
In 114.82 In.upf
Ga 69.72 Ga.upf
S 32.06 S.upf
CELL_PARAMETERS angstrom
6.667 -0.038 3.821
-2.132 6.316 3.821
0.034 0.047 7.696
ATOMIC_POSITIONS crystal
In 0.500 0.500 0.500
In 0.500 0.000 0.500
In 0.000 0.000 0.000
In 0.500 0.000 0.000
Ga 0.875 0.625 0.750
Ga 0.125 0.375 0.250
S 0.253 0.758 0.995
S 0.747 0.242 0.005
S 0.258 0.753 0.495
S 0.253 0.248 0.505
S 0.252 0.247 0.995
S 0.747 0.752 0.495
S 0.742 0.247 0.505
S 0.748 0.753 0.005
```


First-principles (PBE) data for a geometry-optimized InGaS3 structure, as listed in the Alexandria database. Values from VASP.

As for the uncorrected formation energy: -0.618 eV per atom. The total moment comes out at 0.00 Bohr magnetons per cell.

The structure in Quantum ESPRESSO input format:
```
&SYSTEM
  ibrav = 0, nat = 10, ntyp = 3
/
ATOMIC_SPECIES
S 32.06 S.upf
Ga 69.72 Ga.upf
In 114.82 In.upf
CELL_PARAMETERS angstrom
3.796 0.000 0.003
0.000 6.243 0.000
-1.900 0.000 10.357
ATOMIC_POSITIONS crystal
S 0.889 0.697 0.778
S 0.111 0.197 0.222
S 0.576 0.707 0.152
S 0.424 0.207 0.848
S 0.778 0.243 0.556
S 0.222 0.743 0.444
Ga 0.877 0.057 0.754
Ga 0.123 0.557 0.246
In 0.329 0.502 0.658
In 0.671 0.002 0.342
```


First-principles (PBE) data for a geometry-optimized In4GaS6 structure, as listed in the Alexandria database. Values from VASP.

As for the uncorrected formation energy: -0.496 eV per atom. The total moment comes out at 0.00 Bohr magnetons per cell.

The structure in Quantum ESPRESSO input format:
```
&SYSTEM
  ibrav = 0, nat = 22, ntyp = 3
/
ATOMIC_SPECIES
In 114.82 In.upf
Ga 69.72 Ga.upf
S 32.06 S.upf
CELL_PARAMETERS angstrom
7.269 0.000 2.195
3.264 6.268 2.324
0.015 0.398 13.084
ATOMIC_POSITIONS crystal
In 0.256 0.015 0.680
In 0.049 0.515 0.180
In 0.691 0.214 0.447
In 0.648 0.714 0.947
In 0.913 0.666 0.641
In 0.780 0.166 0.141
In 0.817 0.186 0.810
In 0.187 0.686 0.310
Ga 0.618 0.795 0.398
Ga 0.189 0.295 0.898
S 0.486 0.527 0.106
S 0.881 0.027 0.606
S 0.435 0.599 0.447
S 0.518 0.099 0.947
S 0.420 0.104 0.459
S 0.016 0.604 0.959
S 0.044 0.063 0.976
S 0.917 0.563 0.476
S 0.974 0.138 0.280
S 0.608 0.638 0.780
S 0.245 0.378 0.710
S 0.666 0.878 0.210
```


First-principles (PBE) data for a geometry-optimized InGaS structure, as listed in the Alexandria database. Values from VASP.

As for the uncorrected formation energy: -0.249 eV per atom. The energy above the most stable polymorph in this dataset comes out at 0.006 eV/atom. The total moment comes out at 0.00 Bohr magnetons per cell.

The structure in Quantum ESPRESSO input format:
```
&SYSTEM
  ibrav = 0, nat = 12, ntyp = 3
/
ATOMIC_SPECIES
S 32.06 S.upf
Ga 69.72 Ga.upf
In 114.82 In.upf
CELL_PARAMETERS angstrom
6.203 0.000 0.000
0.000 8.120 -1.056
0.000 -4.201 6.295
ATOMIC_POSITIONS crystal
S 0.348 0.314 0.694
S 0.848 0.686 0.806
S 0.652 0.686 0.306
S 0.152 0.314 0.194
Ga 0.139 0.072 0.745
Ga 0.639 0.928 0.755
Ga 0.861 0.928 0.255
Ga 0.361 0.072 0.245
In 0.270 0.656 0.698
In 0.770 0.344 0.802
In 0.730 0.344 0.302
In 0.230 0.656 0.198
```


First-principles (PBE) data for a geometry-optimized InGaS3 structure, as listed in the Alexandria database. Values from VASP.

As for the uncorrected formation energy: -0.574 eV per atom. The total moment comes out at 0.00 Bohr magnetons per cell.

The structure in Quantum ESPRESSO input format:
```
&SYSTEM
  ibrav = 0, nat = 25, ntyp = 3
/
ATOMIC_SPECIES
In 114.82 In.upf
Ga 69.72 Ga.upf
S 32.06 S.upf
CELL_PARAMETERS angstrom
6.723 0.001 -0.022
3.361 5.808 -0.038
1.212 1.877 15.424
ATOMIC_POSITIONS crystal
In 0.655 0.669 0.003
In 0.337 0.324 0.012
In 0.993 0.014 0.003
In 0.003 0.418 0.746
In 0.667 0.082 0.746
Ga 0.332 0.922 0.316
Ga 0.015 0.572 0.252
Ga 0.975 0.843 0.444
Ga 0.691 0.488 0.445
Ga 0.331 0.749 0.757
S 0.985 0.508 0.497
S 0.682 0.162 0.497
S 0.331 0.826 0.467
S 0.991 0.648 0.090
S 0.664 0.313 0.088
S 0.327 0.969 0.088
S 0.641 0.463 0.686
S 0.335 0.076 0.684
S 0.029 0.770 0.683
S 0.002 0.373 0.905
S 0.667 0.030 0.905
S 0.324 0.701 0.902
S 0.674 0.573 0.290
S 0.351 0.244 0.272
S 0.997 0.906 0.289
```